## La2AlCdTc (GGA-PBE)

Data for an optimized crystal structure of La2AlCdTc.

uncorrected energy: -25.5 eV for the cell shown
total moment: 0.00 Bohr magnetons per cell
energy relative to the elements: -0.131 eV per atom

a b c (Å): 5.4050 5.4050 4.9846
angles (deg): 90.00 90.00 90.00
With the nearest neighbours (Å) after each atom.
Fractional positions:
Tc 0.0000 0.0000 0.0000  2 Al 2.49, 4 La 2.70
Cd 0.5000 0.5000 0.5000  8 La 3.68, 4 Al 3.82
La 0.0000 0.5000 0.0000  2 Tc 2.70
La 0.5000 0.0000 0.0000  2 Tc 2.70
Al 0.0000 0.0000 0.5000  2 Tc 2.49